(1)
DFT (PBE-GGA) results for a relaxed structure of Li2BeAlCr.

a = 4.458 Å, b = 4.458 Å, c = 4.237 Å
α = 90.00°, β = 90.00°, γ = 90.00°
Atoms (fractional coordinates):
Li (0.000, 0.500, 0.000)
Li (0.500, 0.000, 0.000)
Be (0.000, 0.000, 0.500)
Al (0.000, 0.000, 0.000)
Cr (0.500, 0.500, 0.500)

Output
- formation energy from the elements (eV/f.u.) = 6.17
- calculated volume (Å³/cell) = 84.2
- N(E_F) (states/eV/cell) = 5.70
- space group = No. 123

(2)
DFT (PBE-GGA) results for a relaxed structure of PuInGa2.

a = 3.585 Å, b = 3.585 Å, c = 6.890 Å
α = 90.00°, β = 90.00°, γ = 90.00°
Atoms (fractional coordinates):
Pu (0.000, 0.000, 0.000)
In (0.000, 0.000, 0.500)
Ga (0.500, 0.500, 0.272)
Ga (0.500, 0.500, 0.728)

Output
- formation energy from the elements (eV/f.u.) = -0.61
- calculated volume (Å³/cell) = 88.6
- distance to the lowest polymorph of the same formula (meV per atom) = 136.1
- N(E_F) (states/eV/cell) = 5.91
- space group = No. 123

(3)
DFT (PBE-GGA) results for a relaxed structure of CuAg2Cl.

a = 4.670 Å, b = 4.670 Å, c = 4.670 Å
α = 60.00°, β = 60.00°, γ = 60.00°
Atoms (fractional coordinates):
Cu (0.000, 0.000, 0.000)
Ag (0.500, 0.500, 0.500)
Ag (0.750, 0.750, 0.750)
Cl (0.250, 0.250, 0.250)

Output
- calculated volume (Å³/cell) = 72.0
- distance to the lowest polymorph of the same formula (meV per atom) = 365.8
- formation energy (no corrections) (eV/atom) = 0.30
- N(E_F) (states/eV/cell) = 0.30
- space group = No. 216

(4)
DFT (PBE-GGA) results for a relaxed structure of Mn2SiB.

a = 4.943 Å, b = 4.943 Å, c = 4.943 Å
α = 100.77°, β = 100.77°, γ = 128.79°
Atoms (fractional coordinates):
Mn (0.040, 0.625, 0.915)
Mn (0.375, 0.290, 0.415)
Mn (0.710, 0.125, 0.085)
Mn (0.875, 0.960, 0.585)
Si (0.250, 0.750, 0.500)
Si (0.500, 0.500, 0.000)
B (0.000, 0.000, 0.000)
B (0.750, 0.250, 0.500)

Output
- calculated volume (Å³/cell) = 84.9
- distance to the lowest polymorph of the same formula (meV per atom) = 116.7
- formation energy (no corrections) (eV/atom) = 0.11
- N(E_F) (states/eV/cell) = 5.80
- space group = No. 122

(5)
DFT (PBE-GGA) results for a relaxed structure of La2SiC.

a = 5.004 Å, b = 5.004 Å, c = 5.004 Å
α = 60.00°, β = 60.00°, γ = 60.00°
Atoms (fractional coordinates):
La (0.250, 0.250, 0.250)
La (0.750, 0.750, 0.750)
Si (0.000, 0.000, 0.000)
C (0.500, 0.500, 0.500)

Output
- calculated volume (Å³/cell) = 88.6
- distance to the lowest polymorph of the same formula (meV per atom) = 310.7
- formation energy (no corrections) (eV/atom) = 0.35
- N(E_F) (states/eV/cell) = 5.09
- space group = No. 225

(6)
DFT (PBE-GGA) results for a relaxed structure of RbBeSeBr2.

a = 6.525 Å, b = 6.525 Å, c = 6.616 Å
α = 90.00°, β = 90.00°, γ = 90.00°
Atoms (fractional coordinates):
Rb (0.000, 0.000, 0.000)
Be (0.500, 0.500, 0.500)
Se (0.000, 0.000, 0.500)
Br (0.000, 0.500, 0.000)
Br (0.500, 0.000, 0.000)

Output
- calculated volume (Å³/cell) = 281.7
- distance to the lowest polymorph of the same formula (meV per atom) = 1410.6
- formation energy (no corrections) (eV/atom) = 0.72
- N(E_F) (states/eV/cell) = 2.90
- space group = No. 123

(7)
DFT (PBE-GGA) results for a relaxed structure of Be2HgRuO.

a = 4.148 Å, b = 4.148 Å, c = 5.246 Å
α = 90.00°, β = 90.00°, γ = 90.00°
Atoms (fractional coordinates):
Be (0.000, 0.500, 0.000)
Be (0.500, 0.000, 0.000)
Hg (0.000, 0.000, 0.500)
Ru (0.000, 0.000, 0.000)
O (0.500, 0.500, 0.500)

Output
- calculated volume (Å³/cell) = 90.3
- formation energy (no corrections) (eV/atom) = 1.18
- N(E_F) (states/eV/cell) = 6.25
- space group = No. 123

(8)
DFT (PBE-GGA) results for a relaxed structure of Ce4Tl2In.

a = 10.806 Å, b = 10.806 Å, c = 5.510 Å
α = 90.00°, β = 90.00°, γ = 162.13°
Atoms (fractional coordinates):
Ce (0.160, 0.840, 0.000)
Ce (0.202, 0.798, 0.500)
Ce (0.798, 0.202, 0.500)
Ce (0.840, 0.160, 0.000)
Tl (0.428, 0.572, 0.500)
Tl (0.572, 0.428, 0.500)
In (0.000, 0.000, 0.000)

Output
- formation energy from the elements (eV/f.u.) = 0.89
- calculated volume (Å³/cell) = 197.4
- distance to the lowest polymorph of the same formula (meV per atom) = 51.6
- N(E_F) (states/eV/cell) = 16.72
- space group = No. 65

(9)
DFT (PBE-GGA) results for a relaxed structure of Be2GeAu.

a = 5.376 Å, b = 5.376 Å, c = 5.376 Å
α = 106.93°, β = 106.93°, γ = 114.68°
Atoms (fractional coordinates):
Be (0.124, 0.125, 0.499)
Be (0.375, 0.876, 0.001)
Be (0.626, 0.625, 0.501)
Be (0.875, 0.374, 0.999)
Ge (0.250, 0.750, 0.500)
Ge (0.500, 0.500, 0.000)
Au (0.000, 0.000, 0.000)
Au (0.750, 0.250, 0.500)

Output
- formation energy from the elements (eV/f.u.) = 1.66
- calculated volume (Å³/cell) = 118.9
- N(E_F) (states/eV/cell) = 3.14
- space group = No. 122

(10)
DFT (PBE-GGA) results for a relaxed structure of SnB3H.

a = 3.677 Å, b = 3.677 Å, c = 3.677 Å
α = 90.00°, β = 90.00°, γ = 90.00°
Atoms (fractional coordinates):
Sn (0.000, 0.000, 0.000)
B (0.000, 0.500, 0.500)
B (0.500, 0.000, 0.500)
B (0.500, 0.500, 0.000)
H (0.500, 0.500, 0.500)

Output
- calculated volume (Å³/cell) = 49.7
- distance to the lowest polymorph of the same formula (meV per atom) = 0.0
- N(E_F) (states/eV/cell) = 1.72
- space group = No. 221

(11)
DFT (PBE-GGA) results for a relaxed structure of SiBSeS.

a = 3.476 Å, b = 7.876 Å, c = 7.876 Å
α = 23.10°, β = 90.00°, γ = 90.00°
Atoms (fractional coordinates):
Si (0.000, 0.000, 0.000)
B (0.000, 0.870, 0.870)
Se (0.500, 0.556, 0.556)
S (0.000, 0.307, 0.307)

Output
- calculated volume (Å³/cell) = 84.6
- distance to the lowest polymorph of the same formula (meV per atom) = 223.1
- formation energy (no corrections) (eV/atom) = -0.03
- N(E_F) (states/eV/cell) = 0.58
- space group = No. 38

(12)
DFT (PBE-GGA) results for a relaxed structure of In2Tc2Pd.

a = 7.902 Å, b = 7.902 Å, c = 3.015 Å
α = 90.00°, β = 90.00°, γ = 90.00°
Atoms (fractional coordinates):
In (0.189, 0.311, 0.000)
In (0.311, 0.811, 0.000)
In (0.689, 0.189, 0.000)
In (0.811, 0.689, 0.000)
Tc (0.103, 0.603, 0.500)
Tc (0.397, 0.103, 0.500)
Tc (0.603, 0.897, 0.500)
Tc (0.897, 0.397, 0.500)
Pd (0.000, 0.000, 0.000)
Pd (0.500, 0.500, 0.000)

Output
- formation energy from the elements (eV/f.u.) = 1.83
- calculated volume (Å³/cell) = 188.3
- distance to the lowest polymorph of the same formula (meV per atom) = 88.7
- N(E_F) (states/eV/cell) = 6.55
- space group = No. 127

Values for uncorrected energy, eV for the cell shown, ordered as above
-14.7 -23.7 -10.4 -60.0 -23.1 -7.9 -16.1 -30.3 -27.4 -18.3 -19.8 -59.1